(1)
Density functional theory data (PBE) for a relaxed RbVW3 crystal.

Offset from the most stable computed form in eV per atom: 1.7594
D(E_F) in states/eV/cell: 7.9
E in eV per cell: -29.30
E_form in kJ/mol of formula units: 1895
Crystal system: cubic

Cell lengths 4.679, 4.679, 4.679 Å; angles 90.00, 90.00, 90.00 degrees
Space group Pm-3m (No. 221)
Inequivalent atoms, fractional coordinates:
1 Rb 0.000 0.000 0.000 x1
2 V 0.500 0.500 0.500 x1
3 W 0.000 0.000 0.500 x3

(2)
Density functional theory data (PBE) for a relaxed Pm2Cu4Se5 crystal.

D(E_F) in states/eV/cell: 17.3
E in eV per cell: -156.14
Crystal system: trigonal

Cell lengths 4.0579, 4.0579, 50.4324 Å; angles 90.00, 90.00, 120.00 degrees
Space group R-3m (No. 166, hexagonal axes)
Inequivalent atoms, fractional coordinates:
1 Pm 0.0000 0.0000 0.1311 x6
2 Cu 0.0000 0.0000 0.3141 x6
3 Cu 0.0000 0.0000 0.4137 x6
4 Se 0.0000 0.0000 0.2382 x6
5 Se 0.0000 0.0000 0.3656 x6
6 Se 0.0000 0.0000 0.5000 x3